# Ta2ReHg, optimized geometry, DFT PBE-GGA
# DFT formation energy	264	meV/atom
# crystal system	tetragonal
# uncorrected energy	-8.8501	eV per atom
data_Ta2ReHg
_chemical_formula_sum 'Ta2 Re1 Hg1'
_cell_length_a 4.192
_cell_length_b 4.192
_cell_length_c 3.981
_cell_angle_alpha 90.00
_cell_angle_beta 90.00
_cell_angle_gamma 90.00
_symmetry_space_group_name_H-M 'P 4/m m m'
_symmetry_Int_Tables_number 123
_symmetry_space_group_name_Hall '-P 4 2'
loop_
_atom_site_label
_atom_site_type_symbol
_atom_site_fract_x
_atom_site_fract_y
_atom_site_fract_z
Ta1 Ta 0.000 0.500 0.000
Re1 Re 0.000 0.000 0.500
Hg1 Hg 0.500 0.500 0.500

# Ta2ReHg, optimized geometry, DFT PBE-GGA
# DFT formation energy	235	meV/atom
# crystal system	monoclinic
# uncorrected energy	-8.8792	eV per atom
data_Ta2ReHg
_chemical_formula_sum 'Ta2 Re1 Hg1'
_cell_length_a 2.871
_cell_length_b 4.667
_cell_length_c 5.426
_cell_angle_alpha 90.00
_cell_angle_beta 98.61
_cell_angle_gamma 90.00
_symmetry_space_group_name_H-M 'P 1 m 1'
_symmetry_Int_Tables_number 6
_symmetry_space_group_name_Hall 'P -2y'
loop_
_atom_site_label
_atom_site_type_symbol
_atom_site_fract_x
_atom_site_fract_y
_atom_site_fract_z
Ta1 Ta 0.000 0.000 0.000
Ta2 Ta 0.271 0.500 0.721
Re1 Re 0.575 0.000 0.540
Hg1 Hg 0.605 0.500 0.234

# Ta2ReHg, optimized geometry, DFT PBE-GGA
# DFT formation energy	364	meV/atom
# crystal system	trigonal
# uncorrected energy	-8.7501	eV per atom
data_Ta2ReHg
_chemical_formula_sum 'Ta6 Re3 Hg3'
_cell_length_a 3.0750
_cell_length_b 3.0750
_cell_length_c 27.1979
_cell_angle_alpha 90.00
_cell_angle_beta 90.00
_cell_angle_gamma 120.00
_symmetry_space_group_name_H-M 'R 3 m'
_symmetry_Int_Tables_number 160
_symmetry_space_group_name_Hall 'R 3 -2"'
loop_
_atom_site_label
_atom_site_type_symbol
_atom_site_fract_x
_atom_site_fract_y
_atom_site_fract_z
Ta1 Ta 0.0000 0.0000 0.0000
Ta2 Ta 0.0000 0.0000 0.2497
Re1 Re 0.0000 0.0000 0.5112
Hg1 Hg 0.0000 0.0000 0.7563

# TaRe4Hg, optimized geometry, DFT PBE-GGA
# DFT formation energy	348	meV/atom
# crystal system	cubic
# uncorrected energy	-9.9767	eV per atom
data_TaRe4Hg
_chemical_formula_sum 'Ta4 Re16 Hg4'
_cell_length_a 7.408
_cell_length_b 7.408
_cell_length_c 7.408
_cell_angle_alpha 90.00
_cell_angle_beta 90.00
_cell_angle_gamma 90.00
_symmetry_space_group_name_H-M 'F -4 3 m'
_symmetry_Int_Tables_number 216
_symmetry_space_group_name_Hall 'F -4 2 3'
loop_
_atom_site_label
_atom_site_type_symbol
_atom_site_fract_x
_atom_site_fract_y
_atom_site_fract_z
Ta1 Ta 0.000 0.000 0.000
Re1 Re 0.125 0.125 0.375
Hg1 Hg 0.250 0.250 0.750

# Ta2ReHg, optimized geometry, DFT PBE-GGA
# DFT formation energy	265	meV/atom
# crystal system	trigonal
# uncorrected energy	-8.8490	eV per atom
data_Ta2ReHg
_chemical_formula_sum 'Ta6 Re3 Hg3'
_cell_length_a 3.0926
_cell_length_b 3.0926
_cell_length_c 26.9018
_cell_angle_alpha 90.00
_cell_angle_beta 90.00
_cell_angle_gamma 120.00
_symmetry_space_group_name_H-M 'R -3 m'
_symmetry_Int_Tables_number 166
_symmetry_space_group_name_Hall '-R 3 2"'
loop_
_atom_site_label
_atom_site_type_symbol
_atom_site_fract_x
_atom_site_fract_y
_atom_site_fract_z
Ta1 Ta 0.0000 0.0000 0.2414
Re1 Re 0.0000 0.0000 0.5000
Hg1 Hg 0.0000 0.0000 0.0000

# Ta2ReHg, optimized geometry, DFT PBE-GGA
# DFT formation energy	243	meV/atom
# crystal system	orthorhombic
# uncorrected energy	-8.8710	eV per atom
data_Ta2ReHg
_chemical_formula_sum 'Ta4 Re2 Hg2'
_cell_length_a 3.889
_cell_length_b 4.432
_cell_length_c 8.189
_cell_angle_alpha 90.00
_cell_angle_beta 90.00
_cell_angle_gamma 90.00
_symmetry_space_group_name_H-M 'I m m m'
_symmetry_Int_Tables_number 71
_symmetry_space_group_name_Hall '-I 2 2'
loop_
_atom_site_label
_atom_site_type_symbol
_atom_site_fract_x
_atom_site_fract_y
_atom_site_fract_z
Ta1 Ta 0.000 0.000 0.236
Re1 Re 0.000 0.500 0.500
Hg1 Hg 0.000 0.500 0.000

# Ta3ReHg, optimized geometry, DFT PBE-GGA
# DFT formation energy	2686	meV/atom
# energy above the most stable polymorph in this dataset	1456	meV per atom
# crystal system	cubic
# uncorrected energy	-6.9752	eV per atom
data_Ta3ReHg
_chemical_formula_sum 'Ta3 Re1 Hg1'
_cell_length_a 4.902
_cell_length_b 4.902
_cell_length_c 4.902
_cell_angle_alpha 90.00
_cell_angle_beta 90.00
_cell_angle_gamma 90.00
_symmetry_space_group_name_H-M 'P m -3 m'
_symmetry_Int_Tables_number 221
_symmetry_space_group_name_Hall '-P 4 2 3'
loop_
_atom_site_label
_atom_site_type_symbol
_atom_site_fract_x
_atom_site_fract_y
_atom_site_fract_z
Ta1 Ta 0.000 0.000 0.500
Re1 Re 0.500 0.500 0.500
Hg1 Hg 0.000 0.000 0.000

# Ta2ReHg, optimized geometry, DFT PBE-GGA
# DFT formation energy	248	meV/atom
# crystal system	orthorhombic
# uncorrected energy	-8.8659	eV per atom
data_Ta2ReHg
_chemical_formula_sum 'Ta4 Re2 Hg2'
_cell_length_a 3.267
_cell_length_b 4.693
_cell_length_c 9.423
_cell_angle_alpha 90.00
_cell_angle_beta 90.00
_cell_angle_gamma 90.00
_symmetry_space_group_name_H-M 'C m m 2'
_symmetry_Int_Tables_number 35
_symmetry_space_group_name_Hall 'C 2 -2'
loop_
_atom_site_label
_atom_site_type_symbol
_atom_site_fract_x
_atom_site_fract_y
_atom_site_fract_z
Ta1 Ta 0.000 0.000 0.000
Ta2 Ta 0.000 0.500 0.249
Re1 Re 0.000 0.000 0.471
Hg1 Hg 0.000 0.500 0.734

# TaReHg2, optimized geometry, DFT PBE-GGA
# DFT formation energy	784	meV/atom
# energy above the most stable polymorph in this dataset	431	meV per atom
# crystal system	cubic
# uncorrected energy	-5.4418	eV per atom
data_TaReHg2
_chemical_formula_sum 'Ta4 Re4 Hg8'
_cell_length_a 6.682
_cell_length_b 6.682
_cell_length_c 6.682
_cell_angle_alpha 90.00
_cell_angle_beta 90.00
_cell_angle_gamma 90.00
_symmetry_space_group_name_H-M 'F -4 3 m'
_symmetry_Int_Tables_number 216
_symmetry_space_group_name_Hall 'F -4 2 3'
loop_
_atom_site_label
_atom_site_type_symbol
_atom_site_fract_x
_atom_site_fract_y
_atom_site_fract_z
Ta1 Ta 0.000 0.000 0.000
Re1 Re 0.250 0.250 0.750
Hg1 Hg 0.000 0.000 0.500
Hg2 Hg 0.250 0.250 0.250

# TaReHg2, optimized geometry, DFT PBE-GGA
# DFT formation energy	621	meV/atom
# energy above the most stable polymorph in this dataset	267	meV per atom
# crystal system	monoclinic
# uncorrected energy	-5.6054	eV per atom
data_TaReHg2
_chemical_formula_sum 'Ta2 Re2 Hg4'
_cell_length_a 9.922
_cell_length_b 2.819
_cell_length_c 5.337
_cell_angle_alpha 90.00
_cell_angle_beta 96.51
_cell_angle_gamma 90.00
_symmetry_space_group_name_H-M 'C 1 m 1'
_symmetry_Int_Tables_number 8
_symmetry_space_group_name_Hall 'C -2y'
loop_
_atom_site_label
_atom_site_type_symbol
_atom_site_fract_x
_atom_site_fract_y
_atom_site_fract_z
Ta1 Ta 0.000 0.000 0.000
Re1 Re 0.253 0.000 0.806
Hg1 Hg 0.007 0.500 0.515
Hg2 Hg 0.251 0.500 0.286

# Ta2ReHg, optimized geometry, DFT PBE-GGA
# DFT formation energy	433	meV/atom
# crystal system	tetragonal
# uncorrected energy	-8.6806	eV per atom
data_Ta2ReHg
_chemical_formula_sum 'Ta2 Re1 Hg1'
_cell_length_a 2.815
_cell_length_b 2.815
_cell_length_c 9.111
_cell_angle_alpha 90.00
_cell_angle_beta 90.00
_cell_angle_gamma 90.00
_symmetry_space_group_name_H-M 'P 4 m m'
_symmetry_Int_Tables_number 99
_symmetry_space_group_name_Hall 'P 4 -2'
loop_
_atom_site_label
_atom_site_type_symbol
_atom_site_fract_x
_atom_site_fract_y
_atom_site_fract_z
Ta1 Ta 0.000 0.000 0.000
Ta2 Ta 0.500 0.500 0.251
Re1 Re 0.500 0.500 0.761
Hg1 Hg 0.000 0.000 0.511

# TaReHg2, optimized geometry, DFT PBE-GGA
# DFT formation energy	617	meV/atom
# energy above the most stable polymorph in this dataset	264	meV per atom
# crystal system	orthorhombic
# uncorrected energy	-5.6089	eV per atom
data_TaReHg2
_chemical_formula_sum 'Ta2 Re2 Hg4'
_cell_length_a 3.449
_cell_length_b 4.473
_cell_length_c 9.572
_cell_angle_alpha 90.00
_cell_angle_beta 90.00
_cell_angle_gamma 90.00
_symmetry_space_group_name_H-M 'I m m m'
_symmetry_Int_Tables_number 71
_symmetry_space_group_name_Hall '-I 2 2'
loop_
_atom_site_label
_atom_site_type_symbol
_atom_site_fract_x
_atom_site_fract_y
_atom_site_fract_z
Ta1 Ta 0.000 0.000 0.000
Re1 Re 0.000 0.000 0.500
Hg1 Hg 0.000 0.500 0.246

- The lowest DFT formation energy belongs to which entry?
  number 2

- What is the formula in the twelfth record?
  TaReHg2

- Which of these has the highest DFT formation energy?
  Ta3ReHg